## ErScTe2 (PBE)

Data for an optimized crystal structure of ErScTe2.

Cell: 4.0938 4.0938 22.3481 Å, 90.00 90.00 120.00°
Space group R3m (No. 160, hexagonal axes)
Asymmetric unit:
Er 0.0000 0.0000 0.0000 (multiplicity 3)
Sc 0.0000 0.0000 0.8280 (multiplicity 3)
Te 0.0000 0.0000 0.2431 (multiplicity 3)
Te 0.0000 0.0000 0.4194 (multiplicity 3)

Properties
- Energy above the most stable polymorph in this dataset: 0 meV per atom
- Uncorrected formation energy: -1192 meV per atom